Computed, not measured: a relaxed Na2TaTlFe crystal at the GGA-PBE level of DFT.

Cell and atoms, written as CIF:
```
data_Na2TaTlFe
_cell_length_a 4.781
_cell_length_b 4.781
_cell_length_c 5.051
_cell_angle_alpha 90.00
_cell_angle_beta 90.00
_cell_angle_gamma 90.00
_symmetry_space_group_name_H-M 'P 1'
_symmetry_Int_Tables_number 1
_symmetry_space_group_name_Hall 'P 1'
loop_
_atom_site_label
_atom_site_type_symbol
_atom_site_fract_x
_atom_site_fract_y
_atom_site_fract_z
_atom_site_occupancy
Na1 Na 0.000 0.500 0.000 1
Na2 Na 0.500 0.000 0.000 1
Ta1 Ta 0.000 0.000 0.500 1
Tl1 Tl 0.500 0.500 0.500 1
Fe1 Fe 0.500 0.500 0.000 1
```

Calculated values
As for the energy above the most stable polymorph in this dataset: 0.786 eV/atom. The mass density is 7.01 g/cm3. As for the space group: P4/mmm, No. 123. As for the volume: 23.09 Å³ per atom. As for the energy of formation from the pure elements: 1793 meV/atom.

***

Computed, not measured: a relaxed Dy3TmCd4 crystal at the GGA-PBE level of DFT.

Cell and atoms, written as CIF:
```
data_Dy3TmCd4
_cell_length_a 5.253
_cell_length_b 5.253
_cell_length_c 7.532
_cell_angle_alpha 90.00
_cell_angle_beta 90.00
_cell_angle_gamma 90.00
_symmetry_space_group_name_H-M 'P 1'
_symmetry_Int_Tables_number 1
_symmetry_space_group_name_Hall 'P 1'
loop_
_atom_site_label
_atom_site_type_symbol
_atom_site_fract_x
_atom_site_fract_y
_atom_site_fract_z
_atom_site_occupancy
Dy1 Dy 0.000 0.000 0.000 1
Dy2 Dy 0.000 0.000 0.500 1
Dy3 Dy 0.500 0.500 0.000 1
Tm1 Tm 0.500 0.500 0.500 1
Cd1 Cd 0.000 0.500 0.253 1
Cd2 Cd 0.000 0.500 0.747 1
Cd3 Cd 0.500 0.000 0.253 1
Cd4 Cd 0.500 0.000 0.747 1
```

Calculated values
The mass density is 8.84 g/cm3. As for the space group: P4/mmm, No. 123. As for the volume: 25.98 Å³ per atom. As for the energy of formation from the pure elements: -318 meV/atom.

***

Computed, not measured: a relaxed CeHo2Se4 crystal at the GGA-PBE level of DFT.

Cell and atoms, written as CIF:
```
data_CeHo2Se4
_cell_length_a 7.005
_cell_length_b 7.005
_cell_length_c 13.815
_cell_angle_alpha 90.00
_cell_angle_beta 90.00
_cell_angle_gamma 146.43
_symmetry_space_group_name_H-M 'P 1'
_symmetry_Int_Tables_number 1
_symmetry_space_group_name_Hall 'P 1'
loop_
_atom_site_label
_atom_site_type_symbol
_atom_site_fract_x
_atom_site_fract_y
_atom_site_fract_z
_atom_site_occupancy
Ce1 Ce 0.120 0.880 0.750 1
Ce2 Ce 0.880 0.120 0.250 1
Ho1 Ho 0.368 0.632 0.566 1
Ho2 Ho 0.368 0.632 0.934 1
Ho3 Ho 0.632 0.368 0.066 1
Ho4 Ho 0.632 0.368 0.434 1
Se1 Se 0.000 0.000 0.000 1
Se2 Se 0.000 0.000 0.500 1
Se3 Se 0.273 0.727 0.120 1
Se4 Se 0.273 0.727 0.380 1
Se5 Se 0.457 0.543 0.750 1
Se6 Se 0.543 0.457 0.250 1
Se7 Se 0.727 0.273 0.620 1
Se8 Se 0.727 0.273 0.880 1
```

Calculated values
As for the energy above the most stable polymorph in this dataset: 0.007 eV/atom. As for the formation energy (no corrections): -1.8492 eV/atom. The mass density is 6.96 g/cm3. As for the space group: Cmcm, No. 63. As for the volume: 26.77 Å³ per atom.

***

Computed, not measured: a relaxed Pm3Y4 crystal at the GGA-PBE level of DFT.

Cell and atoms, written as CIF:
```
data_Pm3Y4
_cell_length_a 8.651
_cell_length_b 8.651
_cell_length_c 8.818
_cell_angle_alpha 116.13
_cell_angle_beta 116.13
_cell_angle_gamma 23.48
_symmetry_space_group_name_H-M 'P 1'
_symmetry_Int_Tables_number 1
_symmetry_space_group_name_Hall 'P 1'
loop_
_atom_site_label
_atom_site_type_symbol
_atom_site_fract_x
_atom_site_fract_y
_atom_site_fract_z
_atom_site_occupancy
Pm1 Pm 0.000 0.000 0.000 1
Pm2 Pm 0.221 0.221 0.148 1
Pm3 Pm 0.779 0.779 0.852 1
Y1 Y 0.078 0.078 0.700 1
Y2 Y 0.364 0.364 0.591 1
Y3 Y 0.636 0.636 0.409 1
Y4 Y 0.922 0.922 0.300 1
```

Calculated values
As for the energy above the most stable polymorph in this dataset: 0.102 eV/atom. The mass density is 5.59 g/cm3. As for the space group: C2/m, No. 12. As for the volume: 33.55 Å³ per atom. As for the energy of formation from the pure elements: 119 meV/atom.

***

Please write out number 2 again, unchanged.
Computed, not measured: a relaxed Dy3TmCd4 crystal at the GGA-PBE level of DFT.

Cell and atoms, written as CIF:
```
data_Dy3TmCd4
_cell_length_a 5.253
_cell_length_b 5.253
_cell_length_c 7.532
_cell_angle_alpha 90.00
_cell_angle_beta 90.00
_cell_angle_gamma 90.00
_symmetry_space_group_name_H-M 'P 1'
_symmetry_Int_Tables_number 1
_symmetry_space_group_name_Hall 'P 1'
loop_
_atom_site_label
_atom_site_type_symbol
_atom_site_fract_x
_atom_site_fract_y
_atom_site_fract_z
_atom_site_occupancy
Dy1 Dy 0.000 0.000 0.000 1
Dy2 Dy 0.000 0.000 0.500 1
Dy3 Dy 0.500 0.500 0.000 1
Tm1 Tm 0.500 0.500 0.500 1
Cd1 Cd 0.000 0.500 0.253 1
Cd2 Cd 0.000 0.500 0.747 1
Cd3 Cd 0.500 0.000 0.253 1
Cd4 Cd 0.500 0.000 0.747 1
```

Calculated values
The mass density is 8.84 g/cm3. As for the space group: P4/mmm, No. 123. As for the volume: 25.98 Å³ per atom. As for the energy of formation from the pure elements: -318 meV/atom.